The following is a DFT calculation (PBE) of Li2PuAgF8 after structural relaxation.

abc: 5.5960 5.5960 7.3059
angles: 90.00 90.00 120.00
Sites, in units of the cell vectors:
Li (0.3333, 0.6667, 0.1762)
Li (0.6667, 0.3333, 0.8238)
Pu (0.0000, 0.0000, 0.5000)
Ag (0.0000, 0.0000, 0.0000)
F (0.1668, 0.3335, 0.3196)
F (0.1668, 0.8332, 0.3196)
F (0.3333, 0.6667, 0.9347)
F (0.3335, 0.1668, 0.6804)
F (0.6665, 0.8332, 0.3196)
F (0.6667, 0.3333, 0.0653)
F (0.8332, 0.1668, 0.6804)
F (0.8332, 0.6665, 0.6804)

Results
- Total magnetic moment: 3.585 μB/f.u.
- Space-group type: P-3m1, No. 164
- Formation energy (no corrections): -2540 meV/atom